## Nd5Te2As2 (PBE-GGA)

Data for an optimized crystal structure of Nd5Te2As2.

abc: 8.1110 8.8344 8.8344
angles: 125.25 90.00 90.00
Fractional positions:
1 Nd 0.1577 0.2154 0.4692
2 Te 0.5000 0.2985 0.7015
3 Nd 0.3423 0.9692 0.7154
4 Nd 0.8423 0.7846 0.5308
5 As 0.1444 0.6460 0.6460
6 Nd 0.6577 0.0308 0.2846
7 Te 0.0000 0.7985 0.2015
8 As 0.6444 0.8540 0.8540
9 As 0.3556 0.1460 0.1460
10 Nd 0.0000 0.0000 0.0000
11 Nd 0.8423 0.5308 0.7846
12 Nd 0.3423 0.7154 0.9692
13 Nd 0.5000 0.5000 0.5000
14 Nd 0.1577 0.4692 0.2154
15 Nd 0.6577 0.2846 0.0308
16 As 0.8556 0.3540 0.3540
17 Te 0.0000 0.2015 0.7985
18 Te 0.5000 0.7015 0.2985

Summary:
E_tot ... -5.656 eV/atom
Density of states at the Fermi level ... 8.746 states/eV/f.u.
Uncorrected formation energy ... -1.275 eV per atom